DFT (PBE with a Hubbard U) results for crystalline La6CoPb2O at its relaxed geometry.

For the electronic total energy, the calculation gives -0.401 Ry/atom. The value obtained for the density is 7.49 g cm⁻³.

Unit cell a=10.362 b=10.737 c=7.387 alpha=90.00 beta=134.50 gamma=90.00
Space group C2/m (No. 12)
Symmetry-distinct sites (fractional):
La1 0.000 0.238 0.000 [4 per cell]
La2 0.245 0.000 0.492 [4 per cell]
La3 0.246 0.500 0.999 [4 per cell]
Co1 0.000 0.500 0.000 [2 per cell]
Pb1 0.000 0.250 0.500 [4 per cell]
O1 0.000 0.000 0.000 [2 per cell]